# GGA-PBE KGaC, optimized geometry
# N(E_F)   0.0 states/eV per cell
# Theoretical density   3.121 g/cm³
# Crystal system   orthorhombic
# Final energy   -3.81 eV per atom
data_KGaC
_chemical_formula_sum 'K4 Ga4 C4'
_cell_length_a 7.2776
_cell_length_b 3.5683
_cell_length_c 9.9038
_cell_angle_alpha 90.00
_cell_angle_beta 90.00
_cell_angle_gamma 90.00
_space_group_name_H-M_alt 'P n m a'
_space_group_IT_number 62
loop_
_space_group_symop_operation_xyz
'x,y,z'
'-x,-y,-z'
'-x+1/2,-y,z+1/2'
'x+1/2,y,-z+1/2'
'x+1/2,-y+1/2,-z+1/2'
'-x+1/2,y+1/2,z+1/2'
'-x,y+1/2,-z'
'x,-y+1/2,z'
loop_
_atom_site_label
_atom_site_type_symbol
_atom_site_fract_x
_atom_site_fract_y
_atom_site_fract_z
_atom_site_occupancy
K1 K 0.0000 0.2500 0.1818 1
Ga1 Ga 0.1305 0.2500 0.5089 1
C1 C 0.1864 0.7500 0.4407 1